{"formula": "CaY3Ir", "functional": "PBE", "state": "optimized geometry", "delta_e_f_ev_per_atom": -0.35, "dos_ef_per_ev_cell": 9.851, "polymorph_energy_ev_per_atom": 0.056, "mass_density_g_cm3": 5.48, "magnetic_moment_mub_per_cell": 0.00, "lattice_angstrom": [[6.556, 0.000, 0.000], [-0.610, 6.730, 0.000], [-0.003, -1.398, 6.858]], "species": ["Ca", "Ca", "Y", "Y", "Y", "Y", "Y", "Y", "Ir", "Ir"], "frac_coords": [[0.000, 0.000, 0.000], [0.181, 0.033, 0.488], [0.004, 0.493, 0.766], [0.187, 0.501, 0.273], [0.495, 0.768, 0.982], [0.546, 0.263, 0.871], [0.663, 0.271, 0.347], [0.668, 0.784, 0.488], [0.400, 0.479, 0.613], [0.813, 0.589, 0.128]]}